[1]
First-principles (PBE) data for an optimized crystal structure of SrAgPO2, as listed in Alexandria via LeMat-Bulk.

Unit cell a=4.366 b=4.366 c=4.615 alpha=90.00 beta=90.00 gamma=90.00
Space group P4/mmm (No. 123)
Unique sites:
Sr1 0.000 0.000 0.000 x1
Ag1 0.500 0.500 0.500 x1
P1 0.500 0.500 0.000 x1
O1 0.000 0.500 0.500 x2

Summary:
Energy relative to the elements, uncorrected (eV/atom): -0.285
Excess energy over the best structure of this formula in the dataset (meV per atom): 0
D(E_F) (states/eV/atom): 0.8203

***

[2]
First-principles (PBE) data for an optimized crystal structure of CuAsS2, as listed in Alexandria via LeMat-Bulk.

Unit cell a=5.339 b=5.076 c=5.687 alpha=90.00 beta=92.12 gamma=90.00
Space group Cm (No. 8)
Unique sites:
Cu1 0.000 0.000 0.000 x2
As1 0.363 0.000 0.477 x2
S1 0.398 0.000 0.871 x2
S2 0.422 0.500 0.383 x2

Summary:
Energy relative to the elements, uncorrected (eV/atom): -0.056

***

[3]
First-principles (PBE) data for an optimized crystal structure of Pm2ThAg2Sn2, as listed in Alexandria via LeMat-Bulk.

Unit cell a=4.8824 b=4.8824 c=27.0370 alpha=90.00 beta=90.00 gamma=120.00
Space group R-3m (No. 166, hexagonal axes)
Unique sites:
Pm1 0.0000 0.0000 0.1316 x6
Th1 0.0000 0.0000 0.0000 x3
Ag1 0.0000 0.0000 0.4202 x6
Sn1 0.0000 0.0000 0.2665 x6

Summary:
ΔH_f (0 K) (eV/atom): -0.336
D(E_F) (states/eV/atom): 0.6327

***

[4]
First-principles (PBE) data for an optimized crystal structure of Ho6Ge2As3Se, as listed in Alexandria via LeMat-Bulk.

Unit cell a=17.948 b=4.054 c=8.295 alpha=90.00 beta=103.38 gamma=90.00
Space group C2/m (No. 12)
Unique sites:
Ho1 0.001 0.000 0.257 x4
Ho2 0.166 0.500 0.586 x4
Ho3 0.168 0.500 0.083 x4
Ge1 0.166 0.000 0.332 x4
As1 0.000 0.500 0.500 x2
As2 0.164 0.000 0.834 x4
Se1 0.000 0.500 0.000 x2

Summary:
Energy relative to the elements, uncorrected (eV/atom): -1.333
D(E_F) (states/eV/atom): 0.2968

***

What is the formula in the second record?
CuAsS2

***

Number 1 is which compound?
SrAgPO2

***

Which formula does entry 2 have?
CuAsS2

***

Number 4 is which compound?
Ho6Ge2As3Se